Density functional theory data (PBE) for crystalline CrAs2Os at its relaxed geometry.

Computed properties:
Density of states at the Fermi level: 7.6 states/eV per cell
Excess energy over the best structure of this formula in the dataset: 505.2 meV per atom
Energy of formation: 584 meV per atom
Calculated total energy: -27.8 eV/f.u.
Calculated density: 10.47 g/cm3
M_tot: 12.3 μB/cell
Symmetry: F-43m, No. 216

a = 6.2887 Å, b = 6.2887 Å, c = 6.2887 Å
α = 90.00°, β = 90.00°, γ = 90.00°
Last column: nearest neighbours and their distance in Å.
Element x y z (fractional)
Cr1 0.0000 0.0000 0.0000  4 As 2.72, 4 Os 2.72
Cr2 0.0000 0.5000 0.5000  4 As 2.72, 4 Os 2.72
Cr3 0.5000 0.0000 0.5000  4 As 2.72, 4 Os 2.72
Cr4 0.5000 0.5000 0.0000  4 As 2.72, 4 Os 2.72
As1 0.0000 0.0000 0.5000  4 As 2.72, 4 Os 2.72
As2 0.0000 0.5000 0.0000  4 As 2.72, 4 Os 2.72
As3 0.2500 0.2500 0.2500  4 Cr 2.72, 4 As 2.72
As4 0.2500 0.7500 0.7500  4 As 2.72, 4 Cr 2.72
As5 0.5000 0.0000 0.0000  4 As 2.72, 4 Os 2.72
As6 0.5000 0.5000 0.5000  4 As 2.72, 4 Os 2.72
As7 0.7500 0.2500 0.7500  4 As 2.72, 4 Cr 2.72
As8 0.7500 0.7500 0.2500  4 As 2.72, 4 Cr 2.72
Os1 0.2500 0.2500 0.7500  4 Cr 2.72, 4 As 2.72
Os2 0.2500 0.7500 0.2500  4 Cr 2.72, 4 As 2.72
Os3 0.7500 0.2500 0.2500  4 Cr 2.72, 4 As 2.72
Os4 0.7500 0.7500 0.7500  4 Cr 2.72, 4 As 2.72